a | Computed, not measured: an optimized crystal structure of Tc2N at the GGA-PBE level of DFT.

Crystal system: cubic
Magnetic moment (μB/atom): 1.042
Symmetry: Fd-3m (227)

a = 6.2091 Å, b = 6.2091 Å, c = 6.2091 Å
α = 60.00°, β = 60.00°, γ = 60.00°
With the nearest neighbours (Å) after each atom.
Fractional coordinates of all 6 atoms:
Tc (0.0000, 0.0000, 0.0000)  2 N 1.90
Tc (0.0000, 0.0000, 0.5000)  2 N 1.90
Tc (0.0000, 0.5000, 0.0000)  2 N 1.90
Tc (0.5000, 0.0000, 0.0000)  2 N 1.90
N (0.1250, 0.1250, 0.1250)  4 Tc 1.90
N (0.8750, 0.8750, 0.8750)  4 Tc 1.90

b | Computed, not measured: an optimized crystal structure of Tc2N at the GGA-PBE level of DFT.

Crystal system: cubic
Magnetic moment (μB/atom): 0.011
Symmetry: Fm-3m (225)

a = 3.7144 Å, b = 3.7144 Å, c = 3.7144 Å
α = 60.00°, β = 60.00°, γ = 60.00°
With the nearest neighbours (Å) after each atom.
Fractional coordinates of all 3 atoms:
Tc (0.2500, 0.2500, 0.2500)  4 N 2.27
Tc (0.7500, 0.7500, 0.7500)  4 N 2.27
N (0.0000, 0.0000, 0.0000)  8 Tc 2.27

Relative energy of each structure, in eV/atom: a 0.792; b 0.000.